# 1
Density functional theory data (SCAN) for a PBEsol-optimized structure of LaZrRu2.

abc: 3.3168 4.6513 5.6317
angles: 114.39 107.13 90.00
Last column: nearest neighbours and their distance in Å.
Element x y z (fractional)
La 0.2558 0.7558 0.5116  6 Ru 2.86-2.93, 2 Zr 3.06
Ru 0.0049 0.0049 0.0099  4 Zr 2.86, 2 Ru 2.89, 2 La 2.93
Ru 0.7486 0.2486 0.4973  4 La 2.86, 2 Zr 2.88, 2 Ru 2.89
Zr 0.4906 0.4906 0.9813  6 Ru 2.86-2.88, 2 La 3.06

**Formation energy**: 0.00 eV per atom

=====

# 2
Density functional theory data (SCAN) for a PBEsol-optimized structure of ZnH6Se2O8.

abc: 6.9493 7.0094 7.9105
angles: 67.67 90.00 90.00
Last column: nearest neighbours and their distance in Å.
Element x y z (fractional)
Zn 0.5000 0.5000 0.5000  6 O 2.08-2.14
Zn 0.0000 0.0000 0.0000  6 O 2.08-2.14
H 0.6668 0.1273 0.0861  1 O 1.00
H 0.5014 0.2559 0.2475  1 O 1.04
H 0.0014 0.2441 0.2525  1 O 1.04
H 0.2185 0.2657 0.6275  1 O 1.02
H 0.1668 0.3727 0.4139  1 O 1.00
H 0.7185 0.2343 0.8725  1 O 1.02
H 0.2815 0.7657 0.1275  1 O 1.02
H 0.8332 0.6273 0.5861  1 O 1.00
H 0.7815 0.7343 0.3725  1 O 1.02
H 0.9986 0.7559 0.7475  1 O 1.04
H 0.4986 0.7441 0.7525  1 O 1.04
H 0.3332 0.8727 0.9139  1 O 1.00
Se 0.7101 0.0399 0.6323  3 O 1.70-1.80
Se 0.7899 0.5399 0.1323  3 O 1.70-1.80
Se 0.2101 0.4601 0.8677  3 O 1.70-1.80
Se 0.2899 0.9601 0.3677  3 O 1.70-1.80
O 0.0885 0.0510 0.2382  1 H 1.53, 1 Se 1.71
O 0.7746 0.1942 0.0008  2 H 1.00-1.02
O 0.4671 0.1273 0.2177  1 H 1.04
O 0.9671 0.3727 0.2823  1 H 1.04
O 0.2746 0.3058 0.4992  2 H 1.00-1.02
O 0.6585 0.2526 0.6768  1 H 1.56, 1 Se 1.70
O 0.5885 0.4490 0.2618  1 H 1.53, 1 Se 1.71
O 0.1585 0.2474 0.8232  1 H 1.56, 1 Se 1.70
O 0.8415 0.7526 0.1768  1 H 1.56, 1 Se 1.70
O 0.4115 0.5510 0.7382  1 H 1.53, 1 Se 1.71
O 0.3415 0.7474 0.3232  1 H 1.56, 1 Se 1.70
O 0.7254 0.6942 0.5008  2 H 1.00-1.02
O 0.0329 0.6273 0.7177  1 H 1.04
O 0.5329 0.8727 0.7823  1 H 1.04
O 0.2254 0.8058 0.9992  2 H 1.00-1.02
O 0.9115 0.9490 0.7618  1 H 1.53, 1 Se 1.71

**Total DFT energy (no corrections)**: -8.367 eV per atom

=====

# 3
Density functional theory data (SCAN) for a PBEsol-optimized structure of Te3OsC.

abc: 5.1544 5.1544 5.1544
angles: 90.00 90.00 90.00
Last column: nearest neighbours and their distance in Å.
Element x y z (fractional)
C 0.5000 0.5000 0.5000  12 Te 3.64
Te 0.0000 0.5000 0.0000  2 Os 2.58
Te 0.0000 0.0000 0.5000  2 Os 2.58
Te 0.5000 0.0000 0.0000  2 Os 2.58
Os 0.0000 0.0000 0.0000  6 Te 2.58

**Total DFT energy (no corrections)**: -36.756 eV per atom

=====

# 4
Density functional theory data (SCAN) for a PBEsol-optimized structure of BaLi2Mg2.

abc: 3.4828 8.7802 8.7802
angles: 90.00 90.00 90.00
Last column: nearest neighbours and their distance in Å.
Element x y z (fractional)
Mg 0.5000 0.1650 0.6650  6 Li 3.09-3.16
Mg 0.5000 0.6650 0.8350  6 Li 3.09-3.16
Mg 0.5000 0.8350 0.3350  6 Li 3.09-3.16
Mg 0.5000 0.3350 0.1650  6 Li 3.09-3.16
Ba 0.0000 0.0000 0.0000  2 Ba 3.48, 4 Li 3.48, 8 Mg 3.71
Ba 0.0000 0.5000 0.5000  2 Ba 3.48, 4 Li 3.48, 8 Mg 3.71
Li 0.0000 0.3772 0.8772  1 Li 3.05, 6 Mg 3.09-3.16
Li 0.0000 0.8772 0.6228  1 Li 3.05, 6 Mg 3.09-3.16
Li 0.0000 0.6228 0.1228  1 Li 3.05, 6 Mg 3.09-3.16
Li 0.0000 0.1228 0.3772  1 Li 3.05, 6 Mg 3.09-3.16

**Energy relative to the lowest polymorph listed for this composition**: 0 meV per atom
**Formation energy**: 0.03 eV per atom

=====

no.,M_tot (μB/cell)
1,0.00
2,0.00
3,0.77
4,0.00